(1)
FeAgRu2 | PBE-GGA | optimized geometry Values from VASP.

Quantum ESPRESSO input file:
```
&SYSTEM
  ibrav = 0, nat = 4, ntyp = 3
/
ATOMIC_SPECIES
Fe 55.84 Fe.upf
Ag 107.87 Ag.upf
Ru 101.07 Ru.upf
CELL_PARAMETERS angstrom
2.6949 0.0000 0.0000
0.0000 2.6949 0.0000
0.0000 0.0000 7.8399
ATOMIC_POSITIONS angstrom
Fe 0.0000 0.0000 0.0000
Ag 0.0000 0.0000 3.9200
Ru 1.3475 1.3475 1.7112
Ru 1.3475 1.3475 6.1287
```

## Properties
V = 14.2 Å³ per atom
space group = P4/mmm (123)
crystal system = tetragonal
calculated formation energy = 1.54 eV/f.u.
relative energy among the computed polymorphs = 1.896 kcal/mol of atoms


(2)
FeAgRu2 | PBE-GGA | optimized geometry Values from VASP.

Quantum ESPRESSO input file:
```
&SYSTEM
  ibrav = 0, nat = 4, ntyp = 3
/
ATOMIC_SPECIES
Fe 55.84 Fe.upf
Ag 107.87 Ag.upf
Ru 101.07 Ru.upf
CELL_PARAMETERS angstrom
4.5076 -1.3639 0.0000
4.5076 1.3639 0.0000
-0.8348 0.0000 4.7205
ATOMIC_POSITIONS angstrom
Fe 0.0000 0.0000 0.0000
Ag 1.5831 0.0000 3.5903
Ru 4.0184 0.0000 2.1433
Ru 6.4956 0.0000 1.2423
```

## Properties
V = 14.5 Å³ per atom
space group = Cm (8)
crystal system = monoclinic
calculated formation energy = 1.63 eV/f.u.
relative energy among the computed polymorphs = 2.437 kcal/mol of atoms


(3)
FeAgRu2 | PBE-GGA | optimized geometry Values from VASP.

Quantum ESPRESSO input file:
```
&SYSTEM
  ibrav = 0, nat = 4, ntyp = 3
/
ATOMIC_SPECIES
Fe 55.84 Fe.upf
Ag 107.87 Ag.upf
Ru 101.07 Ru.upf
CELL_PARAMETERS angstrom
0.0000 3.0675 3.0675
3.0675 0.0000 3.0675
3.0675 3.0675 0.0000
ATOMIC_POSITIONS angstrom
Fe 0.0000 0.0000 0.0000
Ag 3.0675 3.0675 3.0675
Ru 1.5337 1.5337 1.5337
Ru 4.6012 4.6012 4.6012
```

## Properties
V = 14.4 Å³ per atom
space group = Fm-3m (225)
crystal system = cubic
calculated formation energy = 2.36 eV/f.u.
relative energy among the computed polymorphs = 6.598 kcal/mol of atoms


(4)
FeAgRu2 | PBE-GGA | optimized geometry Values from VASP.

Quantum ESPRESSO input file:
```
&SYSTEM
  ibrav = 0, nat = 4, ntyp = 3
/
ATOMIC_SPECIES
Fe 55.84 Fe.upf
Ag 107.87 Ag.upf
Ru 101.07 Ru.upf
CELL_PARAMETERS angstrom
-1.4732 2.2444 4.4248
1.4732 -2.2444 4.4248
1.4732 2.2444 -4.4248
ATOMIC_POSITIONS angstrom
Fe 0.0000 0.0000 0.0000
Ag 0.0000 2.2444 2.1901
Ru 1.4732 0.0000 2.0436
Ru 0.0000 0.0000 4.1965
```

## Properties
V = 14.6 Å³ per atom
space group = Imm2 (44)
crystal system = orthorhombic
calculated formation energy = 2.12 eV/f.u.
relative energy among the computed polymorphs = 5.250 kcal/mol of atoms


(5)
FeAg2Ru | PBE-GGA | optimized geometry Values from VASP.

Quantum ESPRESSO input file:
```
&SYSTEM
  ibrav = 0, nat = 4, ntyp = 3
/
ATOMIC_SPECIES
Fe 55.84 Fe.upf
Ag 107.87 Ag.upf
Ru 101.07 Ru.upf
CELL_PARAMETERS angstrom
3.1309 0.0000 0.0000
0.0000 4.3155 0.0000
0.0000 0.0000 4.6159
ATOMIC_POSITIONS angstrom
Fe 0.0000 0.0000 0.0000
Ag 0.0000 2.1578 2.3079
Ag 1.5655 0.0000 2.3079
Ru 1.5655 2.1578 0.0000
```

## Properties
V = 15.6 Å³ per atom
space group = Pmmm (47)
crystal system = orthorhombic
calculated formation energy = 2.00 eV/f.u.
relative energy among the computed polymorphs = 4.930 kcal/mol of atoms


(6)
FeAgRu | PBE-GGA | optimized geometry Values from VASP.

Quantum ESPRESSO input file:
```
&SYSTEM
  ibrav = 0, nat = 3, ntyp = 3
/
ATOMIC_SPECIES
Fe 55.84 Fe.upf
Ag 107.87 Ag.upf
Ru 101.07 Ru.upf
CELL_PARAMETERS angstrom
2.7270 0.0000 0.0000
-1.3635 2.3616 0.0000
0.0000 0.0000 6.7800
ATOMIC_POSITIONS angstrom
Fe 0.0000 0.0000 0.0000
Ag 0.0000 1.5744 4.4515
Ru 1.3635 0.7872 1.9644
```

## Properties
V = 14.6 Å³ per atom
space group = P3m1 (156)
crystal system = trigonal
calculated formation energy = 1.00 eV/f.u.
relative energy among the computed polymorphs = 0.000 kcal/mol of atoms


(7)
FeAg2Ru | PBE-GGA | optimized geometry Values from VASP.

Quantum ESPRESSO input file:
```
&SYSTEM
  ibrav = 0, nat = 4, ntyp = 3
/
ATOMIC_SPECIES
Fe 55.84 Fe.upf
Ag 107.87 Ag.upf
Ru 101.07 Ru.upf
CELL_PARAMETERS angstrom
-1.9013 1.9013 4.3019
1.9013 -1.9013 4.3019
1.9013 1.9013 -4.3019
ATOMIC_POSITIONS angstrom
Fe 0.0000 0.0000 0.0000
Ag 1.9013 0.0000 2.1510
Ag 0.0000 1.9013 2.1510
Ru 0.0000 0.0000 4.3019
```

## Properties
V = 15.6 Å³ per atom
space group = I4/mmm (139)
crystal system = tetragonal
calculated formation energy = 2.08 eV/f.u.
relative energy among the computed polymorphs = 5.401 kcal/mol of atoms


(8)
FeAgRu2 | PBE-GGA | optimized geometry Values from VASP.

Quantum ESPRESSO input file:
```
&SYSTEM
  ibrav = 0, nat = 4, ntyp = 3
/
ATOMIC_SPECIES
Fe 55.84 Fe.upf
Ag 107.87 Ag.upf
Ru 101.07 Ru.upf
CELL_PARAMETERS angstrom
-1.9303 1.9303 3.8558
1.9303 -1.9303 3.8558
1.9303 1.9303 -3.8558
ATOMIC_POSITIONS angstrom
Fe 0.0000 0.0000 0.0000
Ag 0.0000 1.9303 1.9279
Ru 1.9303 0.0000 1.9279
Ru 0.0000 0.0000 3.8558
```

## Properties
V = 14.4 Å³ per atom
space group = I-4m2 (119)
crystal system = tetragonal
calculated formation energy = 1.86 eV/f.u.
relative energy among the computed polymorphs = 3.742 kcal/mol of atoms


(9)
FeAg2Ru | PBE-GGA | optimized geometry Values from VASP.

Quantum ESPRESSO input file:
```
&SYSTEM
  ibrav = 0, nat = 4, ntyp = 3
/
ATOMIC_SPECIES
Fe 55.84 Fe.upf
Ag 107.87 Ag.upf
Ru 101.07 Ru.upf
CELL_PARAMETERS angstrom
3.7994 0.0000 0.0000
0.0000 3.7994 0.0000
0.0000 0.0000 4.3202
ATOMIC_POSITIONS angstrom
Fe 0.0000 0.0000 0.0000
Ag 0.0000 1.8997 2.1601
Ag 1.8997 0.0000 2.1601
Ru 1.8997 1.8997 0.0000
```

## Properties
V = 15.6 Å³ per atom
space group = P4/mmm (123)
crystal system = tetragonal
calculated formation energy = 2.00 eV/f.u.
relative energy among the computed polymorphs = 4.942 kcal/mol of atoms


(10)
ScFeAgRu2 | PBE-GGA | optimized geometry Values from VASP.

Quantum ESPRESSO input file:
```
&SYSTEM
  ibrav = 0, nat = 5, ntyp = 4
/
ATOMIC_SPECIES
Sc 44.96 Sc.upf
Fe 55.84 Fe.upf
Ag 107.87 Ag.upf
Ru 101.07 Ru.upf
CELL_PARAMETERS angstrom
4.5507 0.0000 0.0000
0.0000 4.5507 0.0000
0.0000 0.0000 4.8191
ATOMIC_POSITIONS angstrom
Sc 0.0000 0.0000 0.0000
Fe 2.2754 2.2754 2.4095
Ag 0.0000 0.0000 2.4095
Ru 0.0000 2.2754 0.0000
Ru 2.2754 0.0000 0.0000
```

## Properties
V = 20.0 Å³ per atom
space group = P4/mmm (123)
crystal system = tetragonal
calculated formation energy = 9.16 eV/f.u.


(11)
FeAgRuSe2 | PBE-GGA | optimized geometry Values from VASP.

Quantum ESPRESSO input file:
```
&SYSTEM
  ibrav = 0, nat = 5, ntyp = 4
/
ATOMIC_SPECIES
Fe 55.84 Fe.upf
Ag 107.87 Ag.upf
Ru 101.07 Ru.upf
Se 78.96 Se.upf
CELL_PARAMETERS angstrom
4.7885 0.0000 0.0000
0.0000 4.7885 0.0000
0.0000 0.0000 4.7934
ATOMIC_POSITIONS angstrom
Fe 0.0000 0.0000 0.0000
Ag 2.3942 2.3942 0.0000
Ru 0.0000 0.0000 2.3967
Se 0.0000 2.3942 2.3967
Se 2.3942 0.0000 2.3967
```

## Properties
V = 22.0 Å³ per atom
space group = P4/mmm (123)
formation energy from raw total energies = 0.71 eV/atom
crystal system = tetragonal


(12)
ZnFeAgRu2 | PBE-GGA | optimized geometry Values from VASP.

Quantum ESPRESSO input file:
```
&SYSTEM
  ibrav = 0, nat = 5, ntyp = 4
/
ATOMIC_SPECIES
Zn 65.41 Zn.upf
Fe 55.84 Fe.upf
Ag 107.87 Ag.upf
Ru 101.07 Ru.upf
CELL_PARAMETERS angstrom
4.8489 0.0000 0.0000
0.0000 4.8489 0.0000
0.0000 0.0000 4.5452
ATOMIC_POSITIONS angstrom
Zn 0.0000 0.0000 0.0000
Fe 2.4244 2.4244 0.0000
Ag 0.0000 0.0000 2.2726
Ru 0.0000 2.4244 2.2726
Ru 2.4244 0.0000 2.2726
```

## Properties
V = 21.4 Å³ per atom
space group = P4/mmm (123)
crystal system = tetragonal
calculated formation energy = 11.60 eV/f.u.